Record 1
# CePmPr4Se8 GGA-PBE relaxed
# * formation energy without anion corrections: -1.714 eV/atom
data_CePmPr4Se8
_symmetry_space_group_name_H-M 'R 3 m'
_symmetry_Int_Tables_number 160
_symmetry_space_group_name_Hall 'R 3 -2"'
_cell_length_a 8.7715
_cell_length_b 8.7715
_cell_length_c 21.3986
_cell_angle_alpha 90.00
_cell_angle_beta 90.00
_cell_angle_gamma 120.00
loop_
_atom_site_label
_atom_site_fract_x
_atom_site_fract_y
_atom_site_fract_z
Ce1 0.0000 0.0000 0.0000
Pm1 0.0000 0.0000 0.6248
Pr1 0.0000 0.0000 0.2487
Pr2 0.1670 0.3340 0.4576
Se1 0.0000 0.0000 0.3816
Se2 0.0000 0.0000 0.8665
Se3 0.0245 0.5123 0.3759
Se4 0.1784 0.3567 0.2065

***

Record 2
# Ce2PrGe2Au2 GGA-PBE relaxed
# * calculated formation energy: -0.624 eV/atom
data_Ce2PrGe2Au2
_symmetry_space_group_name_H-M 'R -3 m'
_symmetry_Int_Tables_number 166
_symmetry_space_group_name_Hall '-R 3 2"'
_cell_length_a 4.4637
_cell_length_b 4.4637
_cell_length_c 27.9617
_cell_angle_alpha 90.00
_cell_angle_beta 90.00
_cell_angle_gamma 120.00
loop_
_atom_site_label
_atom_site_fract_x
_atom_site_fract_y
_atom_site_fract_z
Ce1 0.0000 0.0000 0.1419
Pr1 0.0000 0.0000 0.0000
Ge1 0.0000 0.0000 0.2586
Au1 0.0000 0.0000 0.4065

***

Record 3
# AlZn2Sb2 GGA-PBE relaxed
# * formation energy without anion corrections: 0.240 eV/atom
# * energy above the most stable polymorph in this dataset: 0.016 eV per atom
data_AlZn2Sb2
_symmetry_space_group_name_H-M 'P 4/m b m'
_symmetry_Int_Tables_number 127
_symmetry_space_group_name_Hall '-P 4 2ab'
_cell_length_a 7.9785
_cell_length_b 7.9785
_cell_length_c 3.4258
_cell_angle_alpha 90.00
_cell_angle_beta 90.00
_cell_angle_gamma 90.00
loop_
_atom_site_label
_atom_site_fract_x
_atom_site_fract_y
_atom_site_fract_z
Al1 0.0000 0.0000 0.0000
Zn1 0.1265 0.3735 0.0000
Sb1 0.1708 0.6708 0.5000

***

Record 4
# Ce3Ga GGA-PBE relaxed
# * calculated formation energy: -0.247 eV/atom
# * energy above the most stable polymorph in this dataset: 0.000 eV per atom
data_Ce3Ga
_symmetry_space_group_name_H-M 'P m -3 m'
_symmetry_Int_Tables_number 221
_symmetry_space_group_name_Hall '-P 4 2 3'
_cell_length_a 4.6366
_cell_length_b 4.6366
_cell_length_c 4.6366
_cell_angle_alpha 90.00
_cell_angle_beta 90.00
_cell_angle_gamma 90.00
loop_
_atom_site_label
_atom_site_fract_x
_atom_site_fract_y
_atom_site_fract_z
Ce1 0.0000 0.0000 0.5000
Ga1 0.5000 0.5000 0.5000

***

Record 5
# Ba4TbRh3O12 GGA-PBE relaxed
# * formation energy without anion corrections: -1.872 eV/atom
data_Ba4TbRh3O12
_symmetry_space_group_name_H-M 'I m -3 m'
_symmetry_Int_Tables_number 229
_symmetry_space_group_name_Hall '-I 4 2 3'
_cell_length_a 8.3254
_cell_length_b 8.3254
_cell_length_c 8.3254
_cell_angle_alpha 90.00
_cell_angle_beta 90.00
_cell_angle_gamma 90.00
loop_
_atom_site_label
_atom_site_fract_x
_atom_site_fract_y
_atom_site_fract_z
Ba1 0.2500 0.2500 0.2500
Tb1 0.0000 0.0000 0.0000
Rh1 0.0000 0.0000 0.5000
O1 0.0000 0.0000 0.2644
O2 0.0000 0.2500 0.5000

***

Record 6
# Zr4BeTl GGA-PBE relaxed
# * calculated formation energy: 0.551 eV/atom
# * energy above the most stable polymorph in this dataset: 0.551 eV per atom
data_Zr4BeTl
_symmetry_space_group_name_H-M 'F -4 3 m'
_symmetry_Int_Tables_number 216
_symmetry_space_group_name_Hall 'F -4 2 3'
_cell_length_a 8.1196
_cell_length_b 8.1196
_cell_length_c 8.1196
_cell_angle_alpha 90.00
_cell_angle_beta 90.00
_cell_angle_gamma 90.00
loop_
_atom_site_label
_atom_site_fract_x
_atom_site_fract_y
_atom_site_fract_z
Zr1 0.1243 0.1243 0.1243
Be1 0.2500 0.2500 0.7500
Tl1 0.0000 0.0000 0.5000

***

Record 7
# Na6HgBi2 GGA-PBE relaxed
# * calculated formation energy: -0.240 eV/atom
# * energy above the most stable polymorph in this dataset: 0.004 eV per atom
data_Na6HgBi2
_symmetry_space_group_name_H-M 'C 1 2/m 1'
_symmetry_Int_Tables_number 12
_symmetry_space_group_name_Hall '-C 2y'
_cell_length_a 17.1836
_cell_length_b 7.3915
_cell_length_c 5.4885
_cell_angle_alpha 90.00
_cell_angle_beta 108.44
_cell_angle_gamma 90.00
loop_
_atom_site_label
_atom_site_fract_x
_atom_site_fract_y
_atom_site_fract_z
Na1 0.0000 0.2233 0.0000
Na2 0.1821 0.2295 0.6831
Hg1 0.0000 0.5000 0.5000
Bi1 0.1632 0.0000 0.1646

***

Record 8
# NpPaP2 GGA-PBE relaxed
# * calculated formation energy: -0.913 eV/atom
# * energy above the most stable polymorph in this dataset: 0.191 eV per atom
data_NpPaP2
_symmetry_space_group_name_H-M 'R 3 m'
_symmetry_Int_Tables_number 160
_symmetry_space_group_name_Hall 'R 3 -2"'
_cell_length_a 3.8262
_cell_length_b 3.8262
_cell_length_c 20.9920
_cell_angle_alpha 90.00
_cell_angle_beta 90.00
_cell_angle_gamma 120.00
loop_
_atom_site_label
_atom_site_fract_x
_atom_site_fract_y
_atom_site_fract_z
Np1 0.0000 0.0000 0.0000
Pa1 0.0000 0.0000 0.8270
P1 0.0000 0.0000 0.4117
P2 0.0000 0.0000 0.5810